Density functional theory data (GGA+U) for a geometry-optimized Co3OF5 structure.

Cell: 5.607 5.694 7.309 Å, 74.18 73.30 71.63°
Space group P1 (No. 1)
One atom of each set of equivalent atoms:
Co 0.000 0.000 0.000
Co 0.004 0.996 0.483
Co 0.308 0.315 0.147
Co 0.330 0.320 0.673
Co 0.664 0.656 0.821
Co 0.692 0.614 0.316
O 0.223 0.225 0.963
O 0.980 0.334 0.309
F 0.033 0.631 0.653
F 0.093 0.096 0.694
F 0.299 0.687 0.984
F 0.378 0.920 0.326
F 0.428 0.404 0.347
F 0.580 0.540 0.613
F 0.637 0.017 0.652
F 0.670 0.289 0.993
F 0.770 0.753 0.025
F 0.895 0.868 0.295

Output
**M_tot**: 9.0 μB per formula unit
**E_tot**: -5.134 eV/atom